Density functional theory data (GGA-PBEsol) for a geometry-optimized SrGe3C structure.

Cell: 5.5445 5.5445 5.5445 Å, 90.00 90.00 90.00°
Space group Pm-3m (No. 221)
One atom of each set of equivalent atoms:
Sr 0.0000 0.0000 0.0000 (multiplicity 1)
Ge 0.0000 0.0000 0.5000 (multiplicity 3)
C 0.5000 0.5000 0.5000 (multiplicity 1)

---

Density functional theory data (GGA-PBEsol) for a geometry-optimized TcAgIrW2 structure.

Cell: 4.6636 4.6636 4.7991 Å, 90.00 90.00 90.00°
Space group P4/mmm (No. 123)
One atom of each set of equivalent atoms:
Tc 0.0000 0.0000 0.0000 (multiplicity 1)
Ag 0.5000 0.5000 0.0000 (multiplicity 1)
Ir 0.5000 0.5000 0.5000 (multiplicity 1)
W 0.0000 0.5000 0.5000 (multiplicity 2)

---

Density functional theory data (GGA-PBEsol) for a geometry-optimized Nb2AlSi structure.

The uncorrected formation energy comes out at -0.097 eV/atom. The energy above the most stable polymorph in this dataset comes out at 0 meV per atom.

Cell: 6.3257 6.3257 6.3257 Å, 90.00 90.00 90.00°
Space group Fm-3m (No. 225)
One atom of each set of equivalent atoms:
Nb 0.2500 0.2500 0.2500 (multiplicity 8)
Al 0.0000 0.0000 0.0000 (multiplicity 4)
Si 0.0000 0.0000 0.5000 (multiplicity 4)

---

Density functional theory data (GGA-PBEsol) for a geometry-optimized AlCu3 structure.

Cell: 8.0855 8.0855 2.5611 Å, 90.00 90.00 120.00°
Space group R-3m (No. 166, hexagonal axes)
One atom of each set of equivalent atoms:
Al 0.0000 0.0000 0.0000 (multiplicity 3)
Cu 0.0000 0.5000 0.0000 (multiplicity 9)

---

Density functional theory data (GGA-PBEsol) for a geometry-optimized SrW2Cl structure.

The uncorrected formation energy comes out at 0.176 eV/atom.

Cell: 3.3154 3.3154 8.5834 Å, 90.00 90.00 90.00°
Space group P4mm (No. 99)
One atom of each set of equivalent atoms:
Sr 0.0000 0.0000 0.0000 (multiplicity 1)
W 0.0000 0.0000 0.4220 (multiplicity 1)
W 0.5000 0.5000 0.3002 (multiplicity 1)
Cl 0.5000 0.5000 0.8008 (multiplicity 1)

---

Density functional theory data (GGA-PBEsol) for a geometry-optimized VGa2FeCo4 structure.

Cell: 4.0023 4.0023 19.5458 Å, 90.00 90.00 120.00°
Space group R-3m (No. 166, hexagonal axes)
One atom of each set of equivalent atoms:
V 0.0000 0.0000 0.0000 (multiplicity 3)
Ga 0.0000 0.0000 0.2498 (multiplicity 6)
Fe 0.0000 0.0000 0.5000 (multiplicity 3)
Co 0.0000 0.0000 0.1248 (multiplicity 6)
Co 0.0000 0.0000 0.3745 (multiplicity 6)

---

Density functional theory data (GGA-PBEsol) for a geometry-optimized Ti2CrTe4 structure.

The uncorrected formation energy comes out at -0.552 eV/atom.

Cell: 14.0760 3.7523 6.7383 Å, 90.00 117.26 90.00°
Space group C2/m (No. 12)
One atom of each set of equivalent atoms:
Ti 0.2482 0.0000 0.2062 (multiplicity 4)
Cr 0.0000 0.5000 0.5000 (multiplicity 2)
Te 0.1053 0.5000 0.9466 (multiplicity 4)
Te 0.1317 0.0000 0.4628 (multiplicity 4)

---

Density functional theory data (GGA-PBEsol) for a geometry-optimized Nb3HgIr structure.

Cell: 4.8193 4.8193 4.8193 Å, 90.00 90.00 90.00°
Space group Pm-3m (No. 221)
One atom of each set of equivalent atoms:
Nb 0.0000 0.0000 0.5000 (multiplicity 3)
Hg 0.5000 0.5000 0.5000 (multiplicity 1)
Ir 0.0000 0.0000 0.0000 (multiplicity 1)

---

Number 1: calculated volume 34.09 A^3/atom, E_tot -2.604 eV/atom, magnetic moment 0.005 μB per atom. Number 2: calculated volume 20.88 A^3/atom, E_tot -8.145 eV/atom, magnetic moment 0.302 μB per atom. Number 3: calculated volume 15.82 A^3/atom, E_tot -7.967 eV/atom, magnetic moment 0.000 μB per atom. Number 4: calculated volume 12.08 A^3/atom, E_tot -4.374 eV/atom, magnetic moment 0.000 μB per atom. Number 5: calculated volume 23.59 A^3/atom, E_tot -7.690 eV/atom, magnetic moment 0.000 μB per atom. Number 6: calculated volume 11.30 A^3/atom, E_tot -7.307 eV/atom, magnetic moment 0.876 μB per atom. Number 7: calculated volume 22.60 A^3/atom, E_tot -6.407 eV/atom, magnetic moment 0.412 μB per atom. Number 8: calculated volume 22.39 A^3/atom, E_tot -7.653 eV/atom, magnetic moment 0.000 μB per atom.